Density functional theory data (GGA-PBE) for a relaxed YCdB crystal.

Structure (POSCAR):
```
YCdB
1.0
3.609 0.000 0.000
0.000 19.369 0.000
0.000 0.000 3.207
Y Cd B
4 4 4
Direct
0.000 0.083 0.250 Y
0.000 0.917 0.750 Y
0.500 0.417 0.750 Y
0.500 0.583 0.250 Y
0.000 0.298 0.250 Cd
0.000 0.702 0.750 Cd
0.500 0.202 0.750 Cd
0.500 0.798 0.250 Cd
0.000 0.486 0.250 B
0.000 0.514 0.750 B
0.500 0.014 0.750 B
0.500 0.986 0.250 B
```

Properties
polymorph energy (0 for the lowest one): 0 meV/atom
formation energy: -395.8 meV/atom